Here is NaCd4Au after structural relaxation from the Alexandria database. Energies are from PBE.

Results
Energy of formation from the pure elements (eV per formula unit): -0.65
ΔE to the lowest computed polymorph (meV per atom): 30

a = 5.5962 Å, b = 7.5188 Å, c = 7.8341 Å
α = 118.68°, β = 103.28°, γ = 90.00°
Closest atoms and distances in Å follow each position.
Sites, in units of the cell vectors:
Na 0.8681 0.7866 0.5732  1 Au 2.96, 5 Cd 3.16-3.31
Na 0.1319 0.2134 0.4268  1 Au 2.96, 5 Cd 3.16-3.31
Cd 0.2702 0.6627 0.3254  2 Au 2.84-3.08, 4 Cd 2.99-3.15, 1 Na 3.16
Cd 0.4330 0.0627 0.7483  1 Au 2.79, 2 Cd 2.84-2.99
Cd 0.0000 0.1952 0.0000  2 Au 2.92, 3 Cd 2.94-3.19, 2 Na 3.19
Cd 0.5670 0.3144 0.2517  1 Au 2.79, 2 Cd 2.84-2.99
Cd 0.7298 0.3373 0.6746  2 Au 2.84-3.08, 4 Cd 2.99-3.15, 1 Na 3.16
Cd 0.5670 0.9373 0.2517  1 Au 2.79, 2 Cd 2.84-2.99
Cd 0.0000 0.8048 0.0000  2 Au 2.92, 3 Cd 2.94-3.19, 2 Na 3.19
Cd 0.4330 0.6856 0.7483  1 Au 2.79, 2 Cd 2.84-2.99
Au 0.2432 0.4360 0.8720  6 Cd 2.79-3.08, 1 Au 2.95, 1 Na 2.96
Au 0.7568 0.5640 0.1280  6 Cd 2.79-3.08, 1 Au 2.95, 1 Na 2.96